# La2PrNd2Cd

An optimized crystal structure of La2PrNd2Cd (PBE, the Alexandria database).

Lattice parameters (Å, degrees): 5.8585 10.3212 6.7377 90.00 90.00 90.00
Closest atoms and distances in Å follow each position.
Fractional coordinates of all 12 atoms:
La: 0.0000 0.3660 0.6961  5 Nd 3.36-3.58, 2 Cd 3.50
Cd: 0.0000 0.0000 0.0000  2 Nd 3.32, 2 Pr 3.37, 4 La 3.50
Nd: 0.5000 0.2055 0.6976  1 Cd 3.32, 5 La 3.36-3.58, 1 Pr 3.66
Pr: 0.5000 0.5000 0.0000  2 Cd 3.37, 2 Nd 3.66
La: 0.0000 0.6340 0.3039  5 Nd 3.36-3.58, 2 Cd 3.50
Cd: 0.5000 0.5000 0.5000  2 Nd 3.32, 2 Pr 3.37, 4 La 3.50
Nd: 0.0000 0.7055 0.8024  1 Cd 3.32, 5 La 3.36-3.58, 1 Pr 3.66
La: 0.5000 0.1340 0.1961  5 Nd 3.36-3.58, 2 Cd 3.50
Pr: 0.0000 0.0000 0.5000  2 Cd 3.37, 2 Nd 3.66
Nd: 0.0000 0.2945 0.1976  1 Cd 3.32, 5 La 3.36-3.58, 1 Pr 3.66
La: 0.5000 0.8660 0.8039  5 Nd 3.36-3.58, 2 Cd 3.50
Nd: 0.5000 0.7945 0.3024  1 Cd 3.32, 5 La 3.36-3.58, 1 Pr 3.66

Computed properties:
- E_form (eV/f.u.) = 0.3
- N(E_F) (states/eV per cell) = 19.89


# La2PrNd2Cd5

An optimized crystal structure of La2PrNd2Cd5 (PBE, the Alexandria database).

Lattice parameters (Å, degrees): 4.9724 10.8694 10.8694 90.00 90.00 90.00
Closest atoms and distances in Å follow each position.
Fractional coordinates of all 20 atoms:
Cd: 0.5000 0.1934 0.0705  3 Cd 3.16-3.42, 2 Nd 3.23, 2 Pr 3.34
Nd: 0.0000 0.8758 0.3758  3 La 3.07-3.31, 6 Cd 3.13-3.23
La: 0.0000 0.1763 0.3237  3 Nd 3.07-3.31
Cd: 0.5000 0.8066 0.9295  3 Cd 3.16-3.42, 2 Nd 3.23, 2 Pr 3.34
Cd: 0.5000 0.5000 0.0000  4 Nd 3.13, 4 Cd 3.42
Cd: 0.5000 0.6934 0.4295  3 Cd 3.16-3.42, 2 Nd 3.23, 2 Pr 3.34
Cd: 0.5000 0.5705 0.6934  3 Cd 3.16-3.42, 2 Nd 3.23, 2 Pr 3.34
La: 0.0000 0.3237 0.8237  3 Nd 3.07-3.31
Cd: 0.5000 0.4295 0.3066  3 Cd 3.16-3.42, 2 Nd 3.23, 2 Pr 3.34
La: 0.0000 0.6763 0.1763  3 Nd 3.07-3.31
Cd: 0.5000 0.0000 0.5000  4 Nd 3.13, 4 Cd 3.42
Nd: 0.0000 0.6242 0.8758  3 La 3.07-3.31, 6 Cd 3.13-3.23
Cd: 0.5000 0.0705 0.8066  3 Cd 3.16-3.42, 2 Nd 3.23, 2 Pr 3.34
Nd: 0.0000 0.1242 0.6242  3 La 3.07-3.31, 6 Cd 3.13-3.23
Pr: 0.0000 0.0000 0.0000  8 Cd 3.34
Cd: 0.5000 0.3066 0.5705  3 Cd 3.16-3.42, 2 Nd 3.23, 2 Pr 3.34
La: 0.0000 0.8237 0.6763  3 Nd 3.07-3.31
Nd: 0.0000 0.3758 0.1242  3 La 3.07-3.31, 6 Cd 3.13-3.23
Cd: 0.5000 0.9295 0.1934  3 Cd 3.16-3.42, 2 Nd 3.23, 2 Pr 3.34
Pr: 0.0000 0.5000 0.5000  8 Cd 3.34

Computed properties:
- E_form (eV/f.u.) = -2.0
- N(E_F) (states/eV per cell) = 12.74


# LaPr2Nd4Cd

An optimized crystal structure of LaPr2Nd4Cd (PBE, the Alexandria database).

Lattice parameters (Å, degrees): 9.5965 9.5965 11.9278 128.42 128.42 88.20
Closest atoms and distances in Å follow each position.
Fractional coordinates of all 16 atoms:
Nd: 0.7674 0.7302 0.9980  1 Cd 3.09, 2 La 3.44-3.45, 1 Pr 3.46
La: 0.0000 0.0000 0.0000  6 Nd 3.32-3.45, 2 La 3.45
Cd: 0.0000 0.5000 0.0000  6 Nd 3.09-3.41, 2 Pr 3.45
Nd: 0.7698 0.7326 0.5020  1 Cd 3.09, 2 La 3.44-3.45, 1 Pr 3.46
Nd: 0.2302 0.2674 0.4980  1 Cd 3.09, 2 La 3.44-3.45, 1 Pr 3.46
Nd: 0.2326 0.2698 0.0020  1 Cd 3.09, 2 La 3.44-3.45, 1 Pr 3.46
Nd: 0.2401 0.7372 0.4887  2 Nd 3.30-3.61, 1 La 3.32, 3 Pr 3.36-3.49, 2 Cd 3.41
Nd: 0.7628 0.2599 0.0113  2 Nd 3.30-3.61, 1 La 3.32, 3 Pr 3.36-3.49, 2 Cd 3.41
Pr: 0.5000 0.0000 0.5000  2 Cd 3.45, 6 Nd 3.49-3.59
La: 0.5000 0.5000 0.5000  6 Nd 3.32-3.45, 2 La 3.45
Cd: 0.0000 0.5000 0.5000  6 Nd 3.09-3.41, 2 Pr 3.45
Nd: 0.7599 0.2628 0.5113  2 Nd 3.30-3.61, 1 La 3.32, 3 Pr 3.36-3.49, 2 Cd 3.41
Pr: 0.0000 0.0000 0.5000  6 Nd 3.36-3.47, 2 Pr 3.45
Pr: 0.5000 0.0000 0.0000  2 Cd 3.45, 6 Nd 3.49-3.59
Nd: 0.2372 0.7401 0.9887  2 Nd 3.30-3.61, 1 La 3.32, 3 Pr 3.36-3.49, 2 Cd 3.41
Pr: 0.5000 0.5000 0.0000  6 Nd 3.36-3.47, 2 Pr 3.45

Computed properties:
- E_form (eV/f.u.) = 1.8
- N(E_F) (states/eV per cell) = 29.55


# LaNdCdPt

An optimized crystal structure of LaNdCdPt (PBE, the Alexandria database).

Lattice parameters (Å, degrees): 5.3075 5.3075 5.3075 60.00 60.00 60.00
Closest atoms and distances in Å follow each position.
Fractional coordinates of all 4 atoms:
Cd: 0.2500 0.2500 0.2500  4 La 3.25, 4 Nd 3.25
La: 0.5000 0.5000 0.5000  4 Cd 3.25, 4 Pt 3.25
Pt: 0.7500 0.7500 0.7500  4 Nd 3.25, 4 La 3.25
Nd: 0.0000 0.0000 0.0000  4 Pt 3.25, 4 Cd 3.25

Computed properties:
- E_form (eV/f.u.) = -2.5
- N(E_F) (states/eV per cell) = 3.51


# LaNdPuCd

An optimized crystal structure of LaNdPuCd (PBE, the Alexandria database).

Lattice parameters (Å, degrees): 5.5630 5.5630 5.5630 60.00 60.00 60.00
Closest atoms and distances in Å follow each position.
Fractional coordinates of all 4 atoms:
Nd: 0.2500 0.2500 0.2500  4 Pu 3.41, 4 Cd 3.41
Pu: 0.5000 0.5000 0.5000  4 Nd 3.41, 4 La 3.41
La: 0.7500 0.7500 0.7500  4 Pu 3.41, 4 Cd 3.41
Cd: 0.0000 0.0000 0.0000  4 La 3.41, 4 Nd 3.41

Computed properties:
- E_form (eV/f.u.) = 0.2
- N(E_F) (states/eV per cell) = 16.91


# LaNdCdRh

An optimized crystal structure of LaNdCdRh (PBE, the Alexandria database).

Lattice parameters (Å, degrees): 5.2690 5.2690 5.2690 60.00 60.00 60.00
Closest atoms and distances in Å follow each position.
Fractional coordinates of all 4 atoms:
Rh: 0.2500 0.2500 0.2500  4 Nd 3.23, 4 La 3.23
Nd: 0.5000 0.5000 0.5000  4 Cd 3.23, 4 Rh 3.23
La: 0.0000 0.0000 0.0000  4 Rh 3.23, 4 Cd 3.23
Cd: 0.7500 0.7500 0.7500  4 La 3.23, 4 Nd 3.23

Computed properties:
- E_form (eV/f.u.) = -1.7
- N(E_F) (states/eV per cell) = 2.42


# LaNdScCd

An optimized crystal structure of LaNdScCd (PBE, the Alexandria database).

Lattice parameters (Å, degrees): 3.5993 3.5993 9.0732 90.00 90.00 90.00
Closest atoms and distances in Å follow each position.
Fractional coordinates of all 4 atoms:
La: 0.9270 0.5000 0.4354  4 Cd 3.46, 4 La 3.60, 4 Nd 3.74
Nd: 0.4269 0.0000 0.1330  4 Sc 3.44, 4 Nd 3.60, 4 La 3.74
Sc: 0.9269 0.5000 0.8775  4 Cd 3.04
Cd: 0.4270 0.0000 0.6933  4 Sc 3.04

Computed properties:
- E_form (eV/f.u.) = -0.5
- N(E_F) (states/eV per cell) = 4.92


# LaNdScCd

An optimized crystal structure of LaNdScCd (PBE, the Alexandria database).

Lattice parameters (Å, degrees): 5.5134 5.5134 5.5134 60.00 60.00 60.00
Closest atoms and distances in Å follow each position.
Fractional coordinates of all 4 atoms:
Sc: 0.7500 0.7500 0.7500  4 La 3.38, 4 Nd 3.38
La: 0.0000 0.0000 0.0000  4 Sc 3.38, 4 Cd 3.38
Cd: 0.2500 0.2500 0.2500  4 La 3.38, 4 Nd 3.38
Nd: 0.5000 0.5000 0.5000  4 Cd 3.38, 4 Sc 3.38

Computed properties:
- E_form (eV/f.u.) = -0.3
- N(E_F) (states/eV per cell) = 5.22


# LaNdSmCd

An optimized crystal structure of LaNdSmCd (PBE, the Alexandria database).

Lattice parameters (Å, degrees): 3.7560 3.7560 9.1479 90.00 90.00 90.00
Closest atoms and distances in Å follow each position.
Fractional coordinates of all 4 atoms:
Cd: 0.0000 0.0000 0.5610  4 Sm 3.29, 4 La 3.42
Sm: 0.5000 0.5000 0.3489  4 Cd 3.29, 4 Nd 3.63
La: 0.5000 0.5000 0.7965  4 Cd 3.42, 4 Nd 3.70, 4 La 3.76
Nd: 0.0000 0.0000 0.0784  4 Sm 3.63, 4 La 3.70, 4 Nd 3.76

Computed properties:
- E_form (eV/f.u.) = -0.6
- N(E_F) (states/eV per cell) = 4.45


# La2NdSm7Cd2

An optimized crystal structure of La2NdSm7Cd2 (PBE, the Alexandria database).

Lattice parameters (Å, degrees): 6.2407 6.2407 15.0904 55.41 55.41 68.09
Closest atoms and distances in Å follow each position.
Fractional coordinates of all 12 atoms:
Sm: 0.8267 0.3267 0.1733  2 Cd 3.33, 4 Sm 3.49-3.66, 2 Nd 3.66, 2 La 3.67
Sm: 0.3267 0.8267 0.1733  2 Cd 3.33, 4 Sm 3.49-3.66, 2 Nd 3.66, 2 La 3.67
La: 0.8491 0.8491 0.6510  1 La 3.32, 6 Sm 3.54-3.67, 2 Cd 3.58
Sm: 0.5000 0.5000 0.0000  2 Nd 3.49, 8 Sm 3.66, 2 La 3.84
Sm: 0.6733 0.1733 0.8267  2 Cd 3.33, 4 Sm 3.49-3.66, 2 Nd 3.66, 2 La 3.67
Sm: 0.6975 0.6975 0.5001  2 Cd 3.17, 2 La 3.54
Cd: 0.2794 0.2794 0.7205  1 Nd 3.07, 6 Sm 3.17-3.33
Sm: 0.1733 0.6733 0.8267  2 Cd 3.33, 4 Sm 3.49-3.66, 2 Nd 3.66, 2 La 3.67
Sm: 0.3025 0.3025 0.4999  2 Cd 3.17, 2 La 3.54
Cd: 0.7206 0.7206 0.2795  1 Nd 3.07, 6 Sm 3.17-3.33
La: 0.1509 0.1509 0.3490  1 La 3.32, 6 Sm 3.54-3.67, 2 Cd 3.58
Nd: 0.0000 0.0000 0.0000  2 Cd 3.07

Computed properties:
- E_form (eV/f.u.) = 0.1
- N(E_F) (states/eV per cell) = 19.42


# La4Nd2SmCd

An optimized crystal structure of La4Nd2SmCd (PBE, the Alexandria database).

Lattice parameters (Å, degrees): 5.1151 5.1289 11.5442 63.62 90.00 90.00
Closest atoms and distances in Å follow each position.
Fractional coordinates of all 8 atoms:
Sm: 0.0000 0.5000 0.5000  4 Nd 3.62, 8 La 3.68-3.69
La: 0.5000 0.7560 0.2440  4 Nd 3.59-3.69, 2 Cd 3.60, 4 La 3.62, 2 Sm 3.68
Cd: 0.5000 0.5000 0.0000  8 La 3.59-3.60, 4 Nd 3.62
Nd: 0.5000 0.0000 0.5000  4 Sm 3.62, 8 La 3.68-3.69
La: 0.5000 0.2440 0.7560  4 Nd 3.59-3.69, 2 Cd 3.60, 4 La 3.62, 2 Sm 3.68
Nd: 0.0000 0.0000 0.0000  8 La 3.59-3.60, 4 Cd 3.62
La: 0.0000 0.7439 0.7562  2 Cd 3.59, 4 Nd 3.60-3.68, 4 La 3.62, 2 Sm 3.69
La: 0.0000 0.2561 0.2438  2 Cd 3.59, 4 Nd 3.60-3.68, 4 La 3.62, 2 Sm 3.69

Computed properties:
- E_form (eV/f.u.) = -0.4
- N(E_F) (states/eV per cell) = 10.66


# La5NdSmCd2

An optimized crystal structure of La5NdSmCd2 (PBE, the Alexandria database).

Lattice parameters (Å, degrees): 8.9936 8.9936 9.8351 117.21 117.21 90.00
Closest atoms and distances in Å follow each position.
Fractional coordinates of all 18 atoms:
Sm: 0.2500 0.7500 0.5000  4 La 3.14
La: 0.9274 0.4274 0.2607  1 Cd 3.12, 1 Sm 3.14
La: 0.0000 0.0000 0.0000  4 Cd 3.67, 2 Nd 3.75, 8 La 3.78
Cd: 0.1061 0.3939 0.0000  1 Cd 2.70
Nd: 0.7500 0.7500 0.5000  10 La 3.70-3.75
Cd: 0.6061 0.1061 0.0000  1 Cd 2.70
La: 0.4274 0.3333 0.2607  1 Cd 3.12, 1 Sm 3.14
Sm: 0.7500 0.2500 0.5000  4 La 3.14
Cd: 0.8939 0.6061 0.0000  1 Cd 2.70
La: 0.6667 0.1667 0.7393  1 Cd 3.12, 1 Sm 3.14
La: 0.3333 0.8333 0.2607  1 Cd 3.12, 1 Sm 3.14
La: 0.5726 0.6667 0.7393  1 Cd 3.12, 1 Sm 3.14
La: 0.5000 0.5000 0.0000  4 Cd 3.67, 2 Nd 3.75, 8 La 3.78
La: 0.1667 0.0726 0.7393  1 Cd 3.12, 1 Sm 3.14
La: 0.8333 0.9274 0.2607  1 Cd 3.12, 1 Sm 3.14
La: 0.0726 0.5726 0.7393  1 Cd 3.12, 1 Sm 3.14
Cd: 0.3939 0.8939 0.0000  1 Cd 2.70
Nd: 0.2500 0.2500 0.5000  10 La 3.70-3.75

Computed properties:
- E_form (eV/f.u.) = 0.2
- N(E_F) (states/eV per cell) = 29.30


Repeat the sixth record exactly.
# LaNdCdRh

An optimized crystal structure of LaNdCdRh (PBE, the Alexandria database).

Lattice parameters (Å, degrees): 5.2690 5.2690 5.2690 60.00 60.00 60.00
Closest atoms and distances in Å follow each position.
Fractional coordinates of all 4 atoms:
Rh: 0.2500 0.2500 0.2500  4 Nd 3.23, 4 La 3.23
Nd: 0.5000 0.5000 0.5000  4 Cd 3.23, 4 Rh 3.23
La: 0.0000 0.0000 0.0000  4 Rh 3.23, 4 Cd 3.23
Cd: 0.7500 0.7500 0.7500  4 La 3.23, 4 Nd 3.23

Computed properties:
- E_form (eV/f.u.) = -1.7
- N(E_F) (states/eV per cell) = 2.42